one:
Density functional theory data (PBE) for TmGa3Pd3 after structural relaxation.

Lattice parameters (Å, degrees): 6.8726 6.8726 18.1000 90.00 90.00 120.00
Last column: nearest neighbours and their distance in Å.
Space group R-3 (No. 148, hexagonal axes)
Inequivalent atoms, fractional coordinates:
Tm: 0.0000 0.0000 0.1613 x6  6 Pd 2.85-2.99, 6 Ga 3.04-3.08
Ga: 0.0228 0.4132 0.3771 x18  4 Pd 2.58-2.64, 2 Ga 2.73
Pd: 0.0079 0.2480 0.5677 x18  4 Ga 2.58-2.64, 1 Tm 2.85

***

two:
Density functional theory data (PBE) for TmGa3Pd3 after structural relaxation.

Lattice parameters (Å, degrees): 6.7724 6.7724 6.7724 90.00 90.00 90.00
Last column: nearest neighbours and their distance in Å.
Space group Pm-3n (No. 223)
Inequivalent atoms, fractional coordinates:
Tm: 0.0000 0.0000 0.0000 x2  12 Pd 3.79, 12 Ga 3.79
Ga: 0.0000 0.2500 0.5000 x6  4 Pd 2.39
Pd: 0.0000 0.5000 0.2500 x6  4 Ga 2.39

***

Tell me which of them is the least stable. Sure, it is two.